Density functional theory data (PBE) for LiPuRu after structural relaxation.

Calculated values
raw total energy = -8.56 eV/atom
energy above the lowest structure with this stoichiometry = 14 meV per atom
calculated formation energy = -0.0538 eV/atom
mass density = 10414 kg/m³

a = 3.2887 Å, b = 4.4858 Å, c = 7.7871 Å
α = 90.00°, β = 102.26°, γ = 90.00°
Space group P2_1/m (No. 11)
Symmetry-distinct sites (fractional):
Li: 0.2306 0.2500 0.4614 x2
Pu: 0.0831 0.7500 0.1673 x2
Ru: 0.4202 0.7500 0.8403 x2